## P
Below is a relaxed structure of Cd4GaHg, with properties calculated at the PBE level.

Lattice parameters (Å, degrees): 9.4298 3.5192 8.7985 90.00 110.84 90.00
Closest atoms and distances in Å follow each position.
Space group C2/m (No. 12)
Unique sites:
Cd  0.1658  0.0000  0.3259 [4 per cell]  3 Cd 2.95-3.07, 3 Hg 2.97-3.10, 2 Ga 3.25
Cd  0.1662  0.0000  0.8408 [4 per cell]  5 Cd 2.95-3.21, 3 Ga 2.96-3.01
Ga  0.0000  0.5000  0.0000 [2 per cell]  10 Cd 2.96-3.25
Hg  0.0000  0.5000  0.5000 [2 per cell]  6 Cd 2.97-3.10

Computed properties:
calculated density: 8.8 g/cm³
D(E_F): 3.65 states/eV per cell


## Q
Below is a relaxed structure of Cd4GaHg, with properties calculated at the PBE level.

Lattice parameters (Å, degrees): 18.3051 5.3531 5.8077 90.00 104.02 90.00
Closest atoms and distances in Å follow each position.
Space group C2/c (No. 15)
Unique sites:
Cd  0.0852  0.2488  0.3130 [8 per cell]  1 Ga 2.95, 4 Cd 3.03-3.18, 4 Hg 3.07-3.29
Cd  0.1693  0.2509  0.8937 [8 per cell]  4 Cd 2.91-3.18, 1 Hg 3.01, 3 Ga 3.01-3.05
Ga  0.2500  0.2500  0.5000 [4 per cell]  8 Cd 2.95-3.05
Hg  0.0000  0.2512  0.7500 [4 per cell]  10 Cd 3.01-3.29

Computed properties:
calculated density: 8.7 g/cm³
D(E_F): 7.59 states/eV per cell


## R
Below is a relaxed structure of Cd4GaHg, with properties calculated at the PBE level.

Lattice parameters (Å, degrees): 8.3300 8.3300 8.3300 90.00 90.00 90.00
Closest atoms and distances in Å follow each position.
Space group F-43m (No. 216)
Unique sites:
Cd  0.1251  0.1251  0.1251 [16 per cell]  6 Cd 2.94-2.95
Ga  0.0000  0.0000  0.5000 [4 per cell]  12 Cd 3.45, 4 Hg 3.61
Hg  0.2500  0.2500  0.7500 [4 per cell]  12 Cd 3.45, 4 Ga 3.61

Computed properties:
calculated density: 8.3 g/cm³
D(E_F): 0.99 states/eV per cell


Among the structures shown above, P is the most stable, with the second-best lying 0.009 eV/atom higher.